#P
A relaxed Pu2TePt crystal, computed with PBE.

a b c (Å): 3.651 3.651 7.300
angles (deg): 90.00 90.00 90.00
Space group P4/mmm (No. 123)
Unique sites:
Pu: 0.000 0.000 0.227 x2
Te: 0.500 0.500 0.500 x1
Pt: 0.500 0.500 0.000 x1

Summary:
The density of states at the Fermi level is 15.969 states/eV per cell. The crystal system is tetragonal.

---

#Q
A relaxed Pu2TePt crystal, computed with PBE.

a b c (Å): 4.155 23.277 4.395
angles (deg): 90.00 90.00 90.00
Space group Cmcm (No. 63)
Unique sites:
Pu: 0.000 0.057 0.250 x4
Pu: 0.000 0.333 0.250 x4
Te: 0.000 0.194 0.250 x4
Pt: 0.000 0.457 0.250 x4

Summary:
The density of states at the Fermi level is 85.000 states/eV per cell. The crystal system is orthorhombic.

---

Computed relative energies in units of meV/atom: #P 16; #Q 0

---

#P
A relaxed PuThPt crystal, computed with PBE.

a b c (Å): 4.7676 4.7676 3.7166
angles (deg): 90.00 90.00 120.00
Space group P3m1 (No. 156)
Unique sites:
Pu: 0.0000 0.0000 0.0000 x1
Th: 0.3333 0.6667 0.3697 x1
Pt: 0.6667 0.3333 0.7103 x1

Summary:
The density of states at the Fermi level is 7.082 states/eV per cell. The crystal system is trigonal.

---

#Q
A relaxed PuThPt crystal, computed with PBE.

a b c (Å): 6.991 6.991 6.991
angles (deg): 90.00 90.00 90.00
Space group F-43m (No. 216)
Unique sites:
Pu: 0.000 0.000 0.000 x4
Th: 0.000 0.000 0.500 x4
Pt: 0.250 0.250 0.250 x4

Summary:
The density of states at the Fermi level is 35.770 states/eV per cell. The crystal system is cubic.

---

Computed relative energies in units of meV/atom: #P 0; #Q 20

---

#P
A relaxed Pu2ThPt crystal, computed with PBE.

a b c (Å): 3.651 3.651 7.449
angles (deg): 90.00 90.00 90.00
Space group P4/mmm (No. 123)
Unique sites:
Pu: 0.000 0.000 0.207 x2
Th: 0.500 0.500 0.500 x1
Pt: 0.500 0.500 0.000 x1

Summary:
The density of states at the Fermi level is 14.969 states/eV per cell. The crystal system is tetragonal.

---

#Q
A relaxed Pu2ThPt crystal, computed with PBE.

a b c (Å): 3.5366 3.5366 31.0943
angles (deg): 90.00 90.00 120.00
Space group R-3m (No. 166, hexagonal axes)
Unique sites:
Pu: 0.0000 0.0000 0.1025 x6
Th: 0.0000 0.0000 0.0000 x3
Pt: 0.0000 0.0000 0.5000 x3

Summary:
The density of states at the Fermi level is 50.472 states/eV per cell. The crystal system is trigonal.

---

Computed relative energies in units of meV/atom: #P 0; #Q 332

---

#P
A relaxed PuTlPt crystal, computed with PBE.

a b c (Å): 3.581 3.581 10.967
angles (deg): 90.00 90.00 90.00
Space group I4mm (No. 107)
Unique sites:
Pu: 0.000 0.000 0.000 x2
Tl: 0.000 0.000 0.703 x2
Pt: 0.000 0.000 0.361 x2

Summary:
The density of states at the Fermi level is 22.967 states/eV per cell. The crystal system is tetragonal.

---

#Q
A relaxed PuTlPt crystal, computed with PBE.

a b c (Å): 3.817 17.878 4.301
angles (deg): 90.00 90.00 90.00
Space group Cmcm (No. 63)
Unique sites:
Pu: 0.000 0.089 0.250 x4
Tl: 0.000 0.290 0.250 x4
Pt: 0.000 0.449 0.250 x4

Summary:
The density of states at the Fermi level is 46.748 states/eV per cell. The crystal system is orthorhombic.

---

#R
A relaxed PuTlPt crystal, computed with PBE.

a b c (Å): 6.792 6.792 6.792
angles (deg): 90.00 90.00 90.00
Space group F-43m (No. 216)
Unique sites:
Pu: 0.000 0.000 0.000 x4
Tl: 0.000 0.000 0.500 x4
Pt: 0.250 0.250 0.750 x4

Summary:
The density of states at the Fermi level is 44.622 states/eV per cell. The crystal system is cubic.

---

Computed relative energies in units of meV/atom: #P 156; #Q 0; #R 90

---

#P
A relaxed TmPu2Pt3 crystal, computed with PBE.

a b c (Å): 4.893 3.431 15.958
angles (deg): 90.00 107.82 90.00
Space group P2/c (No. 13)
Unique sites:
Tm: 0.000 0.002 0.250 x2
Pu: 0.330 0.002 0.080 x4
Pt: 0.154 0.499 0.905 x4
Pt: 0.500 0.498 0.750 x2

Summary:
The density of states at the Fermi level is 40.323 states/eV per cell. The crystal system is monoclinic.

---

#Q
A relaxed TmPu2Pt3 crystal, computed with PBE.

a b c (Å): 4.081 5.720 12.160
angles (deg): 90.00 90.00 90.00
Space group Immm (No. 71)
Unique sites:
Tm: 0.000 0.000 0.000 x2
Pu: 0.000 0.000 0.335 x4
Pt: 0.000 0.500 0.000 x2
Pt: 0.000 0.500 0.333 x4

Summary:
The density of states at the Fermi level is 42.383 states/eV per cell. The crystal system is orthorhombic.

---

Computed relative energies in units of meV/atom: #P 0; #Q 52

---

#P
A relaxed PuUPt crystal, computed with PBE.

a b c (Å): 4.8449 4.8449 2.7972
angles (deg): 90.00 90.00 120.00
Space group P-6m2 (No. 187)
Unique sites:
Pu: 0.0000 0.0000 0.0000 x1
U: 0.3333 0.6667 0.0000 x1
Pt: 0.6667 0.3333 0.5000 x1

Summary:
The density of states at the Fermi level is 5.807 states/eV per cell. The crystal system is hexagonal.

---

#Q
A relaxed PuUPt crystal, computed with PBE.

a b c (Å): 2.867 5.712 7.645
angles (deg): 72.05 85.93 88.72
Space group P-1 (No. 2)
Unique sites:
Pu: 0.119 0.231 0.043 x2
U: 0.042 0.898 0.354 x2
Pt: 0.487 0.560 0.680 x2

Summary:
The density of states at the Fermi level is 12.760 states/eV per cell. The crystal system is triclinic.

---

Computed relative energies in units of meV/atom: #P 0; #Q 32

---

#P
A relaxed PuUPt crystal, computed with PBE.

a b c (Å): 4.047 4.542 6.586
angles (deg): 90.00 95.46 90.00
Space group P2_1/m (No. 11)
Unique sites:
Pu: 0.110 0.250 0.206 x2
U: 0.292 0.250 0.862 x2
Pt: 0.298 0.750 0.463 x2

Summary:
The density of states at the Fermi level is 12.978 states/eV per cell. The crystal system is monoclinic.

---

#Q
A relaxed PuUPt crystal, computed with PBE.

a b c (Å): 3.621 3.621 9.507
angles (deg): 90.00 90.00 90.00
Space group I4mm (No. 107)
Unique sites:
Pu: 0.000 0.000 0.000 x2
U: 0.000 0.000 0.671 x2
Pt: 0.000 0.000 0.327 x2

Summary:
The density of states at the Fermi level is 12.067 states/eV per cell. The crystal system is tetragonal.

---

Computed relative energies in units of meV/atom: #P 121; #Q 0

---

#P
A relaxed Pu2UPt crystal, computed with PBE.

a b c (Å): 6.951 6.951 6.951
angles (deg): 90.00 90.00 90.00
Space group Fm-3m (No. 225)
Unique sites:
Pu: 0.250 0.250 0.250 x8
U: 0.000 0.000 0.000 x4
Pt: 0.000 0.000 0.500 x4

Summary:
The density of states at the Fermi level is 55.650 states/eV per cell. The crystal system is cubic.

---

#Q
A relaxed Pu2UPt crystal, computed with PBE.

a b c (Å): 5.164 5.164 3.068
angles (deg): 90.00 90.00 90.00
Space group P4/mmm (No. 123)
Unique sites:
Pu: 0.000 0.500 0.000 x2
U: 0.000 0.000 0.500 x1
Pt: 0.500 0.500 0.500 x1

Summary:
The density of states at the Fermi level is 12.564 states/eV per cell. The crystal system is tetragonal.

---

Computed relative energies in units of meV/atom: #P 39; #Q 0

---

#P
A relaxed Pu2UPt crystal, computed with PBE.

a b c (Å): 3.0465 3.0465 31.0035
angles (deg): 90.00 90.00 120.00
Space group R-3m (No. 166, hexagonal axes)
Unique sites:
Pu: 0.0000 0.0000 0.0870 x6
U: 0.0000 0.0000 0.0000 x3
Pt: 0.0000 0.0000 0.5000 x3

Summary:
The density of states at the Fermi level is 36.474 states/eV per cell. The crystal system is trigonal.

---

#Q
A relaxed Pu2UPt crystal, computed with PBE.

a b c (Å): 3.458 3.458 7.107
angles (deg): 90.00 90.00 90.00
Space group P4/mmm (No. 123)
Unique sites:
Pu: 0.000 0.000 0.240 x2
U: 0.500 0.500 0.500 x1
Pt: 0.500 0.500 0.000 x1

Summary:
The density of states at the Fermi level is 10.225 states/eV per cell. The crystal system is tetragonal.

---

Computed relative energies in units of meV/atom: #P 334; #Q 0

---

#P
A relaxed PuZn4Pt crystal, computed with PBE.

a b c (Å): 7.394 7.394 7.394
angles (deg): 90.00 90.00 90.00
Space group F-43m (No. 216)
Unique sites:
Pu: 0.000 0.000 0.000 x4
Zn: 0.124 0.124 0.376 x16
Pt: 0.250 0.250 0.750 x4

Summary:
The density of states at the Fermi level is 48.558 states/eV per cell. The crystal system is cubic.

---

#Q
A relaxed PuZn4Pt crystal, computed with PBE.

a b c (Å): 7.887 3.962 7.034
angles (deg): 90.00 90.00 90.00
Space group Pmma (No. 51)
Unique sites:
Pu: 0.250 0.000 0.117 x2
Zn: 0.000 0.000 0.500 x2
Zn: 0.046 0.500 0.810 x4
Zn: 0.250 0.500 0.449 x2
Pt: 0.250 0.000 0.715 x2

Summary:
The density of states at the Fermi level is 23.603 states/eV per cell. The crystal system is orthorhombic.

---

Computed relative energies in units of meV/atom: #P 66; #Q 0

---

#P
A relaxed PuZn9Pt2 crystal, computed with PBE.

a b c (Å): 8.8910 8.8910 2.8346
angles (deg): 90.00 90.00 120.00
Space group P6/mmm (No. 191)
Unique sites:
Pu: 0.0000 0.0000 0.0000 x1
Zn: 0.0000 0.5000 0.0000 x3
Zn: 0.1820 0.3641 0.5000 x6
Pt: 0.3333 0.6667 0.0000 x2

Summary:
The density of states at the Fermi level is 8.819 states/eV per cell. The crystal system is hexagonal.

---

#Q
A relaxed PuZn9Pt2 crystal, computed with PBE.

a b c (Å): 10.595 10.595 6.959
angles (deg): 90.00 90.00 90.00
Space group I4_1/amd (No. 141, origin choice 2)
Unique sites:
Pu: 0.000 0.250 0.375 x4
Zn: 0.000 0.250 0.875 x4
Zn: 0.121 0.043 0.677 x32
Pt: 0.000 0.000 0.000 x8

Summary:
The density of states at the Fermi level is 64.536 states/eV per cell. The crystal system is tetragonal.

---

Computed relative energies in units of meV/atom: #P 60; #Q 0

---

#P
A relaxed PuZr2Pt crystal, computed with PBE.

a b c (Å): 5.025 5.025 3.203
angles (deg): 90.00 90.00 90.00
Space group P4/mmm (No. 123)
Unique sites:
Pu: 0.000 0.000 0.000 x1
Zr: 0.000 0.500 0.500 x2
Pt: 0.500 0.500 0.000 x1

Summary:
The density of states at the Fermi level is 5.984 states/eV per cell. The crystal system is tetragonal.

---

#Q
A relaxed PuZr2Pt crystal, computed with PBE.

a b c (Å): 3.351 3.351 7.538
angles (deg): 90.00 90.00 90.00
Space group P4/mmm (No. 123)
Unique sites:
Pu: 0.000 0.000 0.000 x1
Zr: 0.500 0.500 0.279 x2
Pt: 0.000 0.000 0.500 x1

Summary:
The density of states at the Fermi level is 4.777 states/eV per cell. The crystal system is tetragonal.

---

Computed relative energies in units of meV/atom: #P 41; #Q 0